Below is an optimized crystal structure of BCS, with properties calculated at the PBE level.

Summary:
formation energy from raw total energies: 0.257 eV/atom
polymorph energy (0 for the lowest one): 99 meV per atom

Structure (POSCAR):
```
BCS
1.0
2.6760 0.0000 0.0000
1.3364 4.0220 0.0000
1.2995 0.3867 8.7499
B C S
2 2 2
Cartesian
0.0000 0.0000 0.0000
1.3378 0.7789 1.8140
2.6375 0.4207 8.0051
4.0123 4.0486 1.6191
1.3370 2.4667 2.6057
2.6374 0.4382 6.3244
```

---

Below is an optimized crystal structure of Ba2LiAlTl6, with properties calculated at the PBE level.

Summary:
electronic total energy: -25.461 eV per cell

Structure (POSCAR):
```
Ba2LiAlTl6
1.0
7.5517 0.0000 0.0000
3.6873 6.6403 0.0000
3.7193 2.1659 6.3699
Ba Li Al Tl
2 1 1 6
Cartesian
3.7389 2.2342 2.3306
11.2194 6.5720 4.0393
0.0000 0.0000 0.0000
7.4791 4.4031 3.1849
5.6542 3.7493 5.2806
7.7531 6.3609 5.2184
6.0132 5.6913 1.0941
8.9450 3.1150 5.2757
7.2052 2.4454 1.1515
9.3041 5.0569 1.0893
```

---

Below is an optimized crystal structure of MnTl2GeSe5, with properties calculated at the PBE level.

Summary:
formation energy from raw total energies: -0.329 eV/atom

Structure (POSCAR):
```
MnTl2GeSe5
1.0
1.9075 -9.4114 0.0000
1.9075 9.4114 0.0000
0.0000 0.0000 13.8086
Mn Tl Ge Se
2 4 2 10
Cartesian
1.9075 5.6126 6.9043
1.9075 -5.6126 0.0000
1.9075 6.8084 2.0660
1.9075 6.8116 11.0006
1.9075 -6.8116 4.0963
1.9075 -6.8084 8.9703
1.9075 1.1542 12.3440
1.9075 -1.1542 5.4397
1.9075 8.3513 7.0193
1.9075 3.7160 1.6139
1.9075 3.5447 12.0369
1.9075 3.2620 6.6130
1.9075 0.1391 3.5475
1.9075 -0.1391 10.4518
1.9075 -3.2620 13.5173
1.9075 -3.5447 5.1326
1.9075 -3.7160 8.5182
1.9075 -8.3513 0.1150
```

---

Below is an optimized crystal structure of ReSeCl, with properties calculated at the PBE level.

Summary:
formation energy from raw total energies: -0.068 eV/atom
polymorph energy (0 for the lowest one): 504 meV per atom

Structure (POSCAR):
```
ReSeCl
1.0
3.2022 0.0000 0.0000
-1.6011 2.7732 0.0000
0.0000 0.0000 7.4251
Re Se Cl
1 1 1
Cartesian
0.0000 0.0000 0.0000
1.6011 0.9244 1.6334
0.0000 1.8488 5.5730
```

---

Below is an optimized crystal structure of SmPdPtPb, with properties calculated at the PBE level.

Summary:
electronic total energy: -22.427 eV per cell

Structure (POSCAR):
```
SmPdPtPb
1.0
0.0000 3.4943 3.4943
3.4943 0.0000 3.4943
3.4943 3.4943 0.0000
Sm Pd Pt Pb
1 1 1 1
Cartesian
0.0000 0.0000 0.0000
1.7472 1.7472 1.7472
5.2415 5.2415 5.2415
3.4943 3.4943 3.4943
```

---

Below is an optimized crystal structure of AcHgC2O6, with properties calculated at the PBE level.

Summary:
formation energy from raw total energies: -1.745 eV/atom

Structure (POSCAR):
```
AcHgC2O6
1.0
4.8335 -4.9300 0.0000
4.8335 4.9300 0.0000
-3.6778 0.0000 6.7536
Ac Hg C O
2 2 4 12
Cartesian
2.0751 3.8699 5.0652
3.9140 -3.8699 1.6884
3.9140 1.0908 1.6884
2.0751 -1.0908 5.0652
-0.5271 1.1762 5.2589
1.3118 -1.1762 1.8821
4.6773 1.1762 4.8714
6.5162 -1.1762 1.4947
2.5034 3.8822 2.5123
0.3706 2.0782 5.2765
5.3247 3.8822 0.8645
-0.6999 0.3160 6.2286
1.1390 -0.3160 2.8518
3.7796 2.0782 4.8539
2.2095 -2.0782 1.8997
4.8501 0.3160 3.9018
6.6890 -0.3160 0.5250
0.6645 -3.8822 5.8891
5.6186 -2.0782 1.4771
3.4858 -3.8822 4.2413
```

---

Below is an optimized crystal structure of Mo2AsBr, with properties calculated at the PBE level.

Summary:
formation energy from raw total energies: 0.809 eV/atom
polymorph energy (0 for the lowest one): 675 meV per atom

Structure (POSCAR):
```
Mo2AsBr
1.0
3.0560 -4.1693 0.0000
3.0560 4.1693 0.0000
-1.5562 0.0000 2.7470
Mo As Br
2 1 1
Cartesian
1.5280 2.0846 0.0000
1.5280 -2.0846 0.0000
-0.7781 0.0000 1.3735
2.2779 0.0000 1.3735
```

---

Below is an optimized crystal structure of Cs4PbAu3, with properties calculated at the PBE level.

Summary:
electronic total energy: -18.967 eV per cell

Structure (POSCAR):
```
Cs4PbAu3
1.0
5.1329 0.0000 0.0000
0.0000 5.2778 0.0000
0.0000 0.0000 13.4493
Cs Pb Au
4 1 3
Cartesian
0.0000 0.0000 0.0000
0.0000 2.6389 6.2636
2.5664 0.0000 9.1186
2.5664 2.6389 2.7332
0.0000 2.6389 10.6646
0.0000 0.0000 3.7074
2.5664 0.0000 5.2734
2.5664 2.6389 11.8437
```

---

Below is an optimized crystal structure of La2RhAu, with properties calculated at the PBE level.

Summary:
electronic total energy: -23.669 eV per cell

Structure (POSCAR):
```
La2RhAu
1.0
4.6338 0.0000 0.0000
0.0000 2.0508 5.4691
0.0000 -2.0508 5.4691
La Rh Au
2 1 1
Cartesian
0.0000 0.0000 0.0000
2.3169 0.0000 3.0942
2.3169 0.0000 5.7907
0.0000 0.0000 7.8261
```

---

Below is an optimized crystal structure of NbMoAs2, with properties calculated at the PBE level.

Summary:
polymorph energy (0 for the lowest one): 0 meV per atom

Structure (POSCAR):
```
NbMoAs2
1.0
0.0000 3.1775 3.1775
3.1775 0.0000 3.1775
3.1775 3.1775 0.0000
Nb Mo As
1 1 2
Cartesian
0.0000 0.0000 0.0000
3.1775 3.1775 3.1775
1.5888 1.5888 1.5888
4.7663 4.7663 4.7663
```

---

Below is an optimized crystal structure of TaCuSb3, with properties calculated at the PBE level.

Summary:
formation energy from raw total energies: 0.726 eV/atom
polymorph energy (0 for the lowest one): 0 meV per atom

Structure (POSCAR):
```
TaCuSb3
1.0
5.3258 0.0000 0.0000
0.0000 5.3258 0.0000
0.0000 0.0000 5.3258
Ta Cu Sb
1 1 3
Cartesian
0.0000 0.0000 0.0000
2.6629 2.6629 2.6629
0.0000 0.0000 2.6629
0.0000 2.6629 0.0000
2.6629 0.0000 0.0000
```

---

Below is an optimized crystal structure of CdPt2Se3, with properties calculated at the PBE level.

Summary:
formation energy from raw total energies: -0.427 eV/atom

Structure (POSCAR):
```
CdPt2Se3
1.0
7.4974 0.0000 0.0000
-3.7487 6.4930 0.0000
0.0000 0.0000 5.3715
Cd Pt Se
2 4 6
Cartesian
0.0000 4.3287 0.8108
3.7487 2.1643 4.5607
0.0000 0.0000 2.6857
-1.8744 3.2465 2.6857
3.7487 0.0000 2.6857
1.8744 3.2465 2.6857
0.0000 2.2461 3.9709
-1.8035 5.3699 3.9709
1.9452 1.1231 1.4005
1.8035 5.3699 3.9709
5.5522 1.1231 1.4005
3.7487 4.2468 1.4005
```

---

- Which formula does entry 9 have?
  La2RhAu